[1]
Y7TmO12 | GGA-PBEsol | optimized geometry

Values from the calculation:
Symmetry: No. 24
Formation energy (no corrections): -3.646 eV/atom
Total magnetization: 0.0 μB/f.u.
Total DFT energy (no corrections): -9.428 eV/atom

Unit cell a=9.108 b=9.108 c=9.108 alpha=109.48 beta=109.48 gamma=109.45
Element x y z (fractional)
Y1 0.000 0.500 0.501
Y2 0.002 0.000 0.001
Y3 0.034 0.784 0.250
Y4 0.250 0.468 0.218
Y5 0.250 0.967 0.717
Y6 0.466 0.716 0.750
Y7 0.498 0.499 0.999
Y8 0.500 0.001 0.499
Y9 0.532 0.282 0.250
Y10 0.717 0.250 0.967
Y11 0.750 0.032 0.282
Y12 0.750 0.533 0.783
Y13 0.783 0.750 0.533
Y14 0.968 0.218 0.750
Tm1 0.217 0.250 0.467
Tm2 0.283 0.750 0.033
O1 0.014 0.271 0.542
O2 0.034 0.761 0.989
O3 0.043 0.011 0.772
O4 0.228 0.739 0.774
O5 0.229 0.472 0.958
O6 0.239 0.509 0.469
O7 0.261 0.730 0.271
O8 0.271 0.229 0.243
O9 0.272 0.045 0.511
O10 0.457 0.229 0.969
O11 0.466 0.455 0.726
O12 0.486 0.028 0.257
O13 0.510 0.968 0.738
O14 0.531 0.542 0.270
O15 0.540 0.770 0.031
O16 0.728 0.958 0.489
O17 0.730 0.772 0.762
O18 0.740 0.271 0.728
O19 0.760 0.489 0.531
O20 0.770 0.532 0.042
O21 0.772 0.261 0.230
O22 0.960 0.991 0.229
O23 0.969 0.239 0.011
O24 0.990 0.728 0.458


[2]
Ba2ErRuO6 | GGA-PBEsol | optimized geometry

Values from the calculation:
Symmetry: No. 225
Formation energy (no corrections): -2.515 eV/atom
Total magnetization: 2.9 μB/f.u.
Total DFT energy (no corrections): -7.604 eV/atom

Unit cell a=5.853 b=5.853 c=5.853 alpha=60.00 beta=60.00 gamma=60.00
Element x y z (fractional)
Ba1 0.250 0.250 0.250
Ba2 0.750 0.750 0.750
Er1 0.000 0.000 0.000
Ru1 0.500 0.500 0.500
O1 0.264 0.264 0.736
O2 0.264 0.736 0.264
O3 0.264 0.736 0.736
O4 0.736 0.264 0.264
O5 0.736 0.264 0.736
O6 0.736 0.736 0.264


[3]
KMnW2 | GGA-PBEsol | optimized geometry

Values from the calculation:
Symmetry: No. 6
Total magnetization: 0.1 μB/f.u.
ΔH_f (0 K): 23.70 kcal/mol of atoms
Total DFT energy (no corrections): -8.600 eV/atom

Unit cell a=2.720 b=4.169 c=7.456 alpha=90.00 beta=93.02 gamma=90.00
Element x y z (fractional)
K1 0.000 0.000 0.000
Mn1 0.875 0.500 0.351
W1 0.141 0.500 0.636
W2 0.509 0.000 0.469


[4]
BaBiB3 | GGA-PBEsol | optimized geometry

Values from the calculation:
Symmetry: No. 221
Total magnetization: 0.0 μB/f.u.
ΔH_f (0 K): 39.72 kcal/mol of atoms
Total DFT energy (no corrections): -3.774 eV/atom

Unit cell a=4.819 b=4.819 c=4.819 alpha=90.00 beta=90.00 gamma=90.00
Element x y z (fractional)
Ba1 0.000 0.000 0.000
Bi1 0.500 0.500 0.500
B1 0.000 0.500 0.500
B2 0.500 0.000 0.500
B3 0.500 0.500 0.000


[5]
CrRhSe2 | GGA-PBEsol | optimized geometry

Values from the calculation:
Symmetry: No. 166
Formation energy (no corrections): -0.099 eV/atom
Total magnetization: 0.0 μB/f.u.
Total DFT energy (no corrections): -6.619 eV/atom

Unit cell a=8.074 b=8.074 c=8.074 alpha=21.74 beta=21.74 gamma=21.74
Element x y z (fractional)
Cr1 0.000 0.000 0.000
Rh1 0.500 0.500 0.500
Se1 0.401 0.401 0.401
Se2 0.599 0.599 0.599


[6]
AlCu3N3 | GGA-PBEsol | optimized geometry

Values from the calculation:
Symmetry: No. 221
Formation energy (no corrections): -0.040 eV/atom
Total magnetization: 0.0 μB/f.u.
Total DFT energy (no corrections): -6.136 eV/atom

Unit cell a=4.018 b=4.018 c=4.018 alpha=90.00 beta=90.00 gamma=90.00
Element x y z (fractional)
Al1 0.000 0.000 0.000
Cu1 0.000 0.500 0.500
Cu2 0.500 0.000 0.500
Cu3 0.500 0.500 0.000
N1 0.000 0.000 0.500
N2 0.000 0.500 0.000
N3 0.500 0.000 0.000


[7]
KCdMo2 | GGA-PBEsol | optimized geometry

Values from the calculation:
Symmetry: No. 6
Total magnetization: 0.0 μB/f.u.
ΔH_f (0 K): 14.27 kcal/mol of atoms
Total DFT energy (no corrections): -5.848 eV/atom

Unit cell a=3.211 b=3.194 c=8.743 alpha=90.00 beta=92.19 gamma=90.00
Element x y z (fractional)
K1 0.000 0.000 0.000
Cd1 0.469 0.500 0.682
Mo1 0.492 0.500 0.325
Mo2 0.935 0.000 0.463


[8]
NiSe2Br | GGA-PBEsol | optimized geometry

Values from the calculation:
Symmetry: No. 12
Formation energy (no corrections): -0.266 eV/atom
Total magnetization: 0.0 μB/f.u.
Total DFT energy (no corrections): -4.198 eV/atom

Unit cell a=5.999 b=5.999 c=10.154 alpha=105.82 beta=105.82 gamma=34.75
Element x y z (fractional)
Ni1 0.198 0.198 0.119
Ni2 0.802 0.802 0.881
Se1 0.166 0.166 0.883
Se2 0.440 0.440 0.881
Se3 0.560 0.560 0.119
Se4 0.834 0.834 0.117
Br1 0.247 0.247 0.359
Br2 0.753 0.753 0.641


[9]
MnCuRu2 | GGA-PBEsol | optimized geometry

Values from the calculation:
Symmetry: No. 119
Total magnetization: 2.7 μB/f.u.
ΔH_f (0 K): 4.98 kcal/mol of atoms
Total DFT energy (no corrections): -8.394 eV/atom

Unit cell a=4.572 b=4.572 c=4.572 alpha=133.09 beta=133.09 gamma=68.51
Element x y z (fractional)
Mn1 0.000 0.000 0.000
Cu1 0.250 0.750 0.500
Ru1 0.500 0.500 0.000
Ru2 0.750 0.250 0.500


[10]
LaMnInC2 | GGA-PBEsol | optimized geometry

Values from the calculation:
Symmetry: No. 123
Total magnetization: 4.3 μB/f.u.
ΔH_f (0 K): 55.48 kcal/mol of atoms
Total DFT energy (no corrections): -5.070 eV/atom

Unit cell a=4.273 b=4.273 c=5.882 alpha=90.00 beta=90.00 gamma=90.00
Element x y z (fractional)
La1 0.000 0.000 0.000
Mn1 0.500 0.500 0.000
In1 0.000 0.000 0.500
C1 0.000 0.500 0.500
C2 0.500 0.000 0.500


[11]
PrIn3 | GGA-PBEsol | optimized geometry

Values from the calculation:
Symmetry: No. 221
Total magnetization: 0.0 μB/f.u.
ΔH_f (0 K): -12.18 kcal/mol of atoms
Total DFT energy (no corrections): -4.061 eV/atom

Unit cell a=4.648 b=4.648 c=4.648 alpha=90.00 beta=90.00 gamma=90.00
Element x y z (fractional)
Pr1 0.000 0.000 0.000
In1 0.000 0.500 0.500
In2 0.500 0.000 0.500
In3 0.500 0.500 0.000


[12]
TaP2Au | GGA-PBEsol | optimized geometry

Values from the calculation:
Symmetry: No. 65
Total magnetization: 0.0 μB/f.u.
ΔH_f (0 K): 1.75 kcal/mol of atoms
Total DFT energy (no corrections): -6.938 eV/atom

Unit cell a=2.832 b=2.832 c=8.576 alpha=90.00 beta=90.00 gamma=106.23
Element x y z (fractional)
Ta1 0.000 0.000 0.000
P1 0.500 0.500 0.216
P2 0.500 0.500 0.784
Au1 0.000 0.000 0.500